Computed, not measured: an optimized crystal structure of VFeTc2 at the GGA-PBE level of DFT.

Cell lengths 5.3905, 5.3905, 5.3905 Å; angles 102.48, 102.48, 124.60 degrees
With the nearest neighbours (Å) after each atom.
Atoms (fractional coordinates):
V1 0.0000 0.0000 0.0000  2 Fe 2.51, 4 Tc 2.56
V2 0.7500 0.2500 0.5000  2 Fe 2.51, 4 Tc 2.56
Fe1 0.2500 0.7500 0.5000  4 Tc 2.38, 2 V 2.51
Fe2 0.5000 0.5000 0.0000  4 Tc 2.38, 2 V 2.51
Tc1 0.1447 0.1250 0.5197  2 Fe 2.38, 2 Tc 2.52, 2 V 2.56
Tc2 0.3750 0.8553 0.9803  2 Fe 2.38, 2 Tc 2.52, 2 V 2.56
Tc3 0.6053 0.6250 0.4803  2 Fe 2.38, 2 Tc 2.52, 2 V 2.56
Tc4 0.8750 0.3947 0.0197  2 Fe 2.38, 2 Tc 2.52, 2 V 2.56

Results
ΔH_f (0 K) in kcal/mol of atoms: 13.46
Volume in Å³ per cell: 114.2

---

Computed, not measured: an optimized crystal structure of VFeTc at the GGA-PBE level of DFT.

Cell lengths 7.0250, 7.0250, 7.0250 Å; angles 159.43, 159.43, 29.25 degrees
With the nearest neighbours (Å) after each atom.
Atoms (fractional coordinates):
V1 0.0000 0.0000 0.0000  1 Tc 2.47, 4 V 2.51, 4 Fe 2.62
Fe1 0.3581 0.3581 0.0000  1 Tc 2.40, 4 Fe 2.51, 4 V 2.62
Tc1 0.1815 0.1815 0.0000  1 Fe 2.40, 1 V 2.47, 4 Tc 2.51

Results
ΔH_f (0 K) in kcal/mol of atoms: 14.11
Volume in Å³ per cell: 42.8
ΔE to the lowest computed polymorph in meV per atom: 735

---

Computed, not measured: an optimized crystal structure of V6FeTc at the GGA-PBE level of DFT.

Cell lengths 5.1442, 5.1442, 4.1752 Å; angles 90.00, 90.00, 109.92 degrees
With the nearest neighbours (Å) after each atom.
Atoms (fractional coordinates):
V1 0.0000 0.5000 0.5000  4 V 2.56, 2 Tc 2.57, 2 Fe 2.57
V2 0.2467 0.2467 0.0000  4 V 2.54-2.60, 2 Fe 2.55, 2 Tc 2.57
V3 0.2477 0.7523 0.0000  8 V 2.54-2.60
V4 0.5000 0.0000 0.5000  4 V 2.56, 2 Tc 2.57, 2 Fe 2.57
V5 0.7523 0.2477 0.0000  8 V 2.54-2.60
V6 0.7533 0.7533 0.0000  4 V 2.54-2.60, 2 Fe 2.55, 2 Tc 2.57
Fe1 0.0000 0.0000 0.5000  8 V 2.55-2.57
Tc1 0.5000 0.5000 0.5000  8 V 2.57

Results
ΔH_f (0 K) in kcal/mol of atoms: -4.56
Volume in Å³ per cell: 103.9
ΔE to the lowest computed polymorph in meV per atom: 0

---

Computed, not measured: an optimized crystal structure of VFeTcW at the GGA-PBE level of DFT.

Cell lengths 4.2855, 4.2855, 4.2855 Å; angles 60.00, 60.00, 60.00 degrees
With the nearest neighbours (Å) after each atom.
Atoms (fractional coordinates):
V1 0.0000 0.0000 0.0000  4 Fe 2.62, 4 Tc 2.62
Fe1 0.7500 0.7500 0.7500  4 W 2.62, 4 V 2.62
Tc1 0.2500 0.2500 0.2500  4 W 2.62, 4 V 2.62
W1 0.5000 0.5000 0.5000  4 Fe 2.62, 4 Tc 2.62

Results
ΔH_f (0 K) in kcal/mol of atoms: -1.09
Volume in Å³ per cell: 55.7

---

Computed, not measured: an optimized crystal structure of VZnFeTc at the GGA-PBE level of DFT.

Cell lengths 4.2106, 4.2106, 4.2106 Å; angles 60.00, 60.00, 60.00 degrees
With the nearest neighbours (Å) after each atom.
Atoms (fractional coordinates):
V1 0.0000 0.0000 0.0000  4 Fe 2.58, 4 Tc 2.58
Zn1 0.5000 0.5000 0.5000  4 Fe 2.58, 4 Tc 2.58
Fe1 0.2500 0.2500 0.2500  4 Zn 2.58, 4 V 2.58
Tc1 0.7500 0.7500 0.7500  4 Zn 2.58, 4 V 2.58

Results
ΔH_f (0 K) in kcal/mol of atoms: -0.09
Volume in Å³ per cell: 52.8

---

Computed, not measured: an optimized crystal structure of ZrVFeTc at the GGA-PBE level of DFT.

Cell lengths 4.3780, 4.3780, 4.3780 Å; angles 60.00, 60.00, 60.00 degrees
With the nearest neighbours (Å) after each atom.
Atoms (fractional coordinates):
Zr1 0.0000 0.0000 0.0000  4 Tc 2.68, 4 Fe 2.68
V1 0.5000 0.5000 0.5000  4 Fe 2.68, 4 Tc 2.68
Fe1 0.2500 0.2500 0.2500  4 Zr 2.68, 4 V 2.68
Tc1 0.7500 0.7500 0.7500  4 Zr 2.68, 4 V 2.68

Results
ΔH_f (0 K) in kcal/mol of atoms: -4.05
Volume in Å³ per cell: 59.3

---

Computed, not measured: an optimized crystal structure of Fe2TcW at the GGA-PBE level of DFT.

Cell lengths 3.1023, 4.1814, 4.2046 Å; angles 90.00, 90.00, 90.00 degrees
With the nearest neighbours (Å) after each atom.
Atoms (fractional coordinates):
Fe1 0.0000 0.0000 0.0000  4 Fe 2.60, 4 W 2.61
Fe2 0.5000 0.5000 0.0000  4 Fe 2.60, 4 Tc 2.61
Tc1 0.0000 0.5000 0.5000  4 W 2.60, 4 Fe 2.61
W1 0.5000 0.0000 0.5000  4 Tc 2.60, 4 Fe 2.61

Results
ΔH_f (0 K) in kcal/mol of atoms: 2.13
Volume in Å³ per cell: 54.5
ΔE to the lowest computed polymorph in meV per atom: 36

---

Computed, not measured: an optimized crystal structure of Fe2TcW at the GGA-PBE level of DFT.

Cell lengths 4.5973, 4.5973, 4.5973 Å; angles 131.56, 131.56, 70.93 degrees
With the nearest neighbours (Å) after each atom.
Atoms (fractional coordinates):
Fe1 0.0000 0.0000 0.0000  4 Fe 2.66, 4 Tc 2.66, 4 W 2.67
Fe2 0.7500 0.2500 0.5000  4 Fe 2.66, 4 W 2.66, 4 Tc 2.67
Tc1 0.2500 0.7500 0.5000  8 Fe 2.66-2.67, 4 W 2.66
W1 0.5000 0.5000 0.0000  8 Fe 2.66-2.67, 4 Tc 2.66

Results
ΔH_f (0 K) in kcal/mol of atoms: 2.98
Volume in Å³ per cell: 53.3
ΔE to the lowest computed polymorph in meV per atom: 72

---

Number 1: E_tot -8.99 eV/atom, D(E_F) 10.34 states/eV/cell. Number 2: E_tot -8.70 eV/atom, D(E_F) 4.14 states/eV/cell. Number 3: E_tot -9.39 eV/atom, D(E_F) 6.89 states/eV/cell. Number 4: E_tot -10.27 eV/atom, D(E_F) 3.30 states/eV/cell. Number 5: E_tot -7.31 eV/atom, D(E_F) 4.19 states/eV/cell. Number 6: E_tot -9.30 eV/atom, D(E_F) 1.23 states/eV/cell. Number 7: E_tot -9.97 eV/atom, D(E_F) 2.74 states/eV/cell. Number 8: E_tot -9.93 eV/atom, D(E_F) 4.01 states/eV/cell.